No. 1
# NpPaB4

A relaxed structure of NpPaB4 (PBE, Alexandria).

Unit cell a=6.594 b=6.594 c=6.594 alpha=90.00 beta=90.00 gamma=90.00
Space group F-43m (No. 216)
One atom of each set of equivalent atoms:
Np (0.000, 0.000, 0.000) (multiplicity 4)
Pa (0.250, 0.250, 0.250) (multiplicity 4)
B (0.156, 0.156, 0.656) (multiplicity 16)

Summary:
crystal system: cubic
E_form: 0.13 eV/atom
total energy: -8.06 eV/atom



No. 2
# PmHo6Tl6

A relaxed structure of PmHo6Tl6 (PBE, Alexandria).

Unit cell a=6.4171 b=6.4171 c=10.5276 alpha=90.00 beta=90.00 gamma=120.00
Space group P6/mmm (No. 191)
One atom of each set of equivalent atoms:
Pm (0.0000, 0.0000, 0.0000) (multiplicity 1)
Ho (0.0000, 0.0000, 0.3375) (multiplicity 2)
Ho (0.3333, 0.6667, 0.0000) (multiplicity 2)
Ho (0.3333, 0.6667, 0.5000) (multiplicity 2)
Tl (0.0000, 0.5000, 0.2460) (multiplicity 6)

Summary:
crystal system: hexagonal
E_form: -0.18 eV/atom
total energy: -3.75 eV/atom



No. 3
# ZrZnSi

A relaxed structure of ZrZnSi (PBE, Alexandria).

Unit cell a=3.177 b=3.177 c=10.163 alpha=90.00 beta=90.00 gamma=90.00
Space group I4mm (No. 107)
One atom of each set of equivalent atoms:
Zr (0.000, 0.000, 0.000) (multiplicity 2)
Zn (0.000, 0.000, 0.311) (multiplicity 2)
Si (0.000, 0.000, 0.680) (multiplicity 2)

Summary:
crystal system: tetragonal
formation energy (no corrections): -0.6 eV per formula unit
total energy: -5.27 eV/atom



No. 4
# CsSm2MgTe4

A relaxed structure of CsSm2MgTe4 (PBE, Alexandria).

Unit cell a=4.554 b=15.993 c=16.063 alpha=90.00 beta=90.00 gamma=90.00
Space group Cmcm (No. 63)
One atom of each set of equivalent atoms:
Cs (0.000, 0.114, 0.250) (multiplicity 4)
Sm (0.000, 0.375, 0.053) (multiplicity 8)
Mg (0.000, 0.168, 0.750) (multiplicity 4)
Te (0.000, 0.000, 0.000) (multiplicity 4)
Te (0.000, 0.260, 0.605) (multiplicity 8)
Te (0.000, 0.431, 0.250) (multiplicity 4)

Summary:
crystal system: orthorhombic
formation energy (no corrections): -9.7 eV per formula unit
total energy: -4.27 eV/atom



No. 5
# LaTaTlCu2

A relaxed structure of LaTaTlCu2 (PBE, Alexandria).

Unit cell a=5.132 b=5.132 c=5.318 alpha=90.00 beta=90.00 gamma=90.00
Space group P4/mmm (No. 123)
One atom of each set of equivalent atoms:
La (0.000, 0.000, 0.000) (multiplicity 1)
Ta (0.000, 0.000, 0.500) (multiplicity 1)
Tl (0.500, 0.500, 0.500) (multiplicity 1)
Cu (0.000, 0.500, 0.000) (multiplicity 2)

Summary:
crystal system: tetragonal
E_form: 1.58 eV/atom
total energy: -3.88 eV/atom



No. 6
# CrCu2

A relaxed structure of CrCu2 (PBE, Alexandria).

Unit cell a=6.630 b=6.630 c=6.630 alpha=90.00 beta=90.00 gamma=90.00
Space group Fd-3m (No. 227, origin choice 2)
One atom of each set of equivalent atoms:
Cr (0.125, 0.125, 0.125) (multiplicity 8)
Cu (0.000, 0.000, 0.500) (multiplicity 16)

Summary:
crystal system: cubic
E_form: 0.47 eV/atom
total energy: -5.47 eV/atom



Number 1: density 11.85 g/cm³. Number 2: density 10.44 g/cm³. Number 3: density 5.98 g/cm³. Number 4: density 5.50 g/cm³. Number 5: density 7.72 g/cm³. Number 6: density 8.16 g/cm³.